1.
LiCu12Pd7: optimized geometry, PBE.

Lattice parameters (Å, degrees): 6.9630 6.9630 6.9630 107.49 107.49 107.49
Fractional coordinates of all 20 atoms:
Li 0.0000 0.0000 0.0000
Cu 0.0400 0.4208 0.3157
Cu 0.2354 0.3667 0.6603
Cu 0.3157 0.0400 0.4208
Cu 0.3397 0.7646 0.6333
Cu 0.3667 0.6603 0.2354
Cu 0.4208 0.3157 0.0400
Cu 0.5792 0.6843 0.9600
Cu 0.6333 0.3397 0.7646
Cu 0.6603 0.2354 0.3667
Cu 0.6843 0.9600 0.5792
Cu 0.7646 0.6333 0.3397
Cu 0.9600 0.5792 0.6843
Pd 0.0255 0.3241 0.8919
Pd 0.1081 0.9745 0.6759
Pd 0.3241 0.8919 0.0255
Pd 0.5000 0.5000 0.5000
Pd 0.6759 0.1081 0.9745
Pd 0.8919 0.0255 0.3241
Pd 0.9745 0.6759 0.1081

Output
The calculated formation energy is -17 meV per atom.


2.
TlZnCd2In: optimized geometry, PBE.

Lattice parameters (Å, degrees): 5.1982 5.1982 5.2383 90.00 90.00 90.00
Fractional coordinates of all 5 atoms:
Tl 0.0000 0.0000 0.0000
Zn 0.5000 0.5000 0.5000
Cd 0.0000 0.5000 0.5000
Cd 0.5000 0.0000 0.5000
In 0.5000 0.5000 0.0000

Output
The calculated formation energy is 185 meV per atom.


Calculated density of states at the Fermi level in order - 8.59; 2.55 states/eV per cell